1.
Below is a relaxed Fe3PdRh3 crystal, with properties calculated at the PBE-GGA level.

Lattice parameters (Å, degrees): 7.354 7.354 7.354 90.00 90.00 90.00
Element x y z (fractional)
1 Fe 0.147 0.353 0.647
2 Fe 0.151 0.151 0.151
3 Fe 0.170 0.830 0.330
4 Fe 0.330 0.170 0.830
5 Fe 0.349 0.849 0.651
6 Fe 0.353 0.647 0.147
7 Fe 0.647 0.147 0.353
8 Fe 0.651 0.349 0.849
9 Fe 0.670 0.670 0.670
10 Fe 0.830 0.330 0.170
11 Fe 0.849 0.651 0.349
12 Fe 0.853 0.853 0.853
13 Pd 0.029 0.529 0.971
14 Pd 0.471 0.471 0.471
15 Pd 0.529 0.971 0.029
16 Pd 0.971 0.029 0.529
17 Rh 0.051 0.676 0.630
18 Rh 0.130 0.449 0.324
19 Rh 0.176 0.870 0.949
20 Rh 0.324 0.130 0.449
21 Rh 0.370 0.551 0.824
22 Rh 0.449 0.324 0.130
23 Rh 0.551 0.824 0.370
24 Rh 0.630 0.051 0.676
25 Rh 0.676 0.630 0.051
26 Rh 0.824 0.370 0.551
27 Rh 0.870 0.949 0.176
28 Rh 0.949 0.176 0.870

Output
Calculated volume, Å³/cell: 398
Space-group type: P2_13, No. 198
Energy of formation from the pure elements, eV per atom: 0.1397

---

2.
Below is a relaxed Fe4Pd3Rh crystal, with properties calculated at the PBE-GGA level.

Lattice parameters (Å, degrees): 3.186 3.186 11.031 90.00 90.00 90.00
Element x y z (fractional)
1 Fe 0.000 0.000 0.123
2 Fe 0.000 0.000 0.375
3 Fe 0.000 0.000 0.625
4 Fe 0.000 0.000 0.877
5 Pd 0.500 0.500 0.251
6 Pd 0.500 0.500 0.500
7 Pd 0.500 0.500 0.749
8 Rh 0.500 0.500 0.000

Output
Calculated volume, Å³/cell: 112
Space-group type: P4/mmm, No. 123
Energy of formation from the pure elements, eV per atom: 0.0220

---

3.
Below is a relaxed FePd2Rh2 crystal, with properties calculated at the PBE-GGA level.

Lattice parameters (Å, degrees): 6.105 6.105 4.097 90.00 90.00 90.00
Element x y z (fractional)
1 Fe 0.000 0.000 0.000
2 Fe 0.500 0.500 0.000
3 Pd 0.163 0.337 0.500
4 Pd 0.337 0.837 0.500
5 Pd 0.663 0.163 0.500
6 Pd 0.837 0.663 0.500
7 Rh 0.142 0.642 0.000
8 Rh 0.358 0.142 0.000
9 Rh 0.642 0.858 0.000
10 Rh 0.858 0.358 0.000

Output
Calculated volume, Å³/cell: 153
Space-group type: P4/mbm, No. 127
Energy of formation from the pure elements, eV per atom: 0.4711

---

4.
Below is a relaxed Fe6PdRh crystal, with properties calculated at the PBE-GGA level.

Lattice parameters (Å, degrees): 5.900 8.393 4.177 90.00 90.00 90.00
Element x y z (fractional)
1 Fe 0.000 0.249 0.000
2 Fe 0.000 0.751 0.000
3 Fe 0.244 0.500 0.000
4 Fe 0.250 0.250 0.500
5 Fe 0.250 0.750 0.500
6 Fe 0.256 0.000 0.000
7 Fe 0.500 0.251 0.000
8 Fe 0.500 0.749 0.000
9 Fe 0.744 0.000 0.000
10 Fe 0.750 0.250 0.500
11 Fe 0.750 0.750 0.500
12 Fe 0.756 0.500 0.000
13 Pd 0.000 0.000 0.500
14 Pd 0.500 0.500 0.500
15 Rh 0.000 0.500 0.500
16 Rh 0.500 0.000 0.500

Output
Calculated volume, Å³/cell: 207
Space-group type: Cmmm, No. 65
Energy of formation from the pure elements, eV per atom: 0.0257

---

5.
Below is a relaxed Fe4Pd4Rh crystal, with properties calculated at the PBE-GGA level.

Lattice parameters (Å, degrees): 5.999 5.999 5.999 96.10 96.10 141.96
Element x y z (fractional)
1 Fe 0.000 0.338 0.338
2 Fe 0.000 0.662 0.662
3 Fe 0.338 0.000 0.338
4 Fe 0.662 0.000 0.662
5 Pd 0.331 0.331 0.662
6 Pd 0.331 0.669 0.000
7 Pd 0.669 0.331 0.000
8 Pd 0.669 0.669 0.338
9 Rh 0.000 0.000 0.000

Output
Calculated volume, Å³/cell: 126
Space-group type: I4/mmm, No. 139
Energy of formation from the pure elements, eV per atom: -0.0142

---

6.
Below is a relaxed Fe4Pd5Rh crystal, with properties calculated at the PBE-GGA level.

Lattice parameters (Å, degrees): 7.192 7.192 5.463 102.68 102.68 30.95
Element x y z (fractional)
1 Fe 0.098 0.098 0.297
2 Fe 0.301 0.301 0.900
3 Fe 0.699 0.699 0.100
4 Fe 0.902 0.902 0.703
5 Pd 0.105 0.105 0.812
6 Pd 0.296 0.296 0.394
7 Pd 0.500 0.500 0.500
8 Pd 0.704 0.704 0.606
9 Pd 0.895 0.895 0.188
10 Rh 0.500 0.500 0.000

Output
Calculated volume, Å³/cell: 141
Space-group type: C2/m, No. 12
Energy of formation from the pure elements, eV per atom: -0.0541

---

7.
Below is a relaxed Fe4PdRh5 crystal, with properties calculated at the PBE-GGA level.

Lattice parameters (Å, degrees): 3.032 3.032 15.113 90.00 90.00 90.00
Element x y z (fractional)
1 Fe 0.000 0.000 0.099
2 Fe 0.000 0.000 0.294
3 Fe 0.000 0.000 0.706
4 Fe 0.000 0.000 0.901
5 Pd 0.000 0.000 0.500
6 Rh 0.500 0.500 0.000
7 Rh 0.500 0.500 0.193
8 Rh 0.500 0.500 0.383
9 Rh 0.500 0.500 0.617
10 Rh 0.500 0.500 0.807

Output
Calculated volume, Å³/cell: 139
Space-group type: P4/mmm, No. 123
Energy of formation from the pure elements, eV per atom: 0.0077

---

8.
Below is a relaxed FePdRh2 crystal, with properties calculated at the PBE-GGA level.

Lattice parameters (Å, degrees): 6.115 6.115 6.115 90.00 90.00 90.00
Element x y z (fractional)
1 Fe 0.000 0.000 0.000
2 Fe 0.000 0.500 0.500
3 Fe 0.500 0.000 0.500
4 Fe 0.500 0.500 0.000
5 Pd 0.000 0.000 0.500
6 Pd 0.000 0.500 0.000
7 Pd 0.500 0.000 0.000
8 Pd 0.500 0.500 0.500
9 Rh 0.250 0.250 0.250
10 Rh 0.250 0.250 0.750
11 Rh 0.250 0.750 0.250
12 Rh 0.250 0.750 0.750
13 Rh 0.750 0.250 0.250
14 Rh 0.750 0.250 0.750
15 Rh 0.750 0.750 0.250
16 Rh 0.750 0.750 0.750

Output
Calculated volume, Å³/cell: 229
Space-group type: Fm-3m, No. 225
Energy of formation from the pure elements, eV per atom: 0.1419